The following is a PBE calculation of crystalline CaHRu2 at its relaxed geometry, from Alexandria.

Output
Energy above the most stable polymorph in this dataset, meV/atom: 0
Density, g/cm³: 6.53
Space-group type: I4_1/amd (141)

Geometry as POSCAR:
```
CaHRu2
1.0
5.5950 0.0000 0.0000
0.0000 5.5950 0.0000
2.7975 2.7975 3.9507
Ru Ca H
4 2 2
direct
0.3750 0.1250 0.2500 Ru
0.3750 0.6250 0.2500 Ru
0.3750 0.6250 0.7500 Ru
0.8750 0.6250 0.7500 Ru
0.0000 0.0000 0.0000 Ca
0.7500 0.2500 0.5000 Ca
0.5000 0.5000 0.0000 H
0.2500 0.7500 0.5000 H
```